[1]
{"formula": "NaY2N", "functional": "PBE-GGA", "state": "relaxed", "lattice": [[6.948, 0.000, 0.000], [0.000, 6.948, 0.000], [3.474, 3.474, 4.835]], "species": ["Na", "Na", "Y", "Y", "Y", "Y", "N", "N"], "frac_coords": [[0.000, 0.000, 0.000], [0.750, 0.250, 0.500], [0.479, 0.125, 0.250], [0.875, 0.729, 0.750], [0.271, 0.625, 0.250], [0.375, 0.521, 0.750], [0.500, 0.500, 0.000], [0.250, 0.750, 0.500]], "formation_energy_uncorrected_ev_per_atom": -0.45, "sg": "I-42d, No. 122"}

---

[2]
{"formula": "Tb2PaGa6", "functional": "PBE-GGA", "state": "relaxed", "lattice": [[4.046, 0.000, 0.000], [0.000, 6.342, -3.661], [0.000, 0.000, 7.323]], "species": ["Tb", "Tb", "Ga", "Ga", "Ga", "Ga", "Ga", "Ga", "Pa"], "frac_coords": [[0.000, 0.333, 0.667], [0.000, 0.667, 0.333], [0.500, 0.667, 0.000], [0.500, 0.667, 0.667], [0.500, 0.000, 0.333], [0.500, 0.000, 0.667], [0.500, 0.333, 0.000], [0.500, 0.333, 0.333], [0.000, 0.000, 0.000]], "delta_e_f_ev_per_atom": -0.55, "sg": "P6/mmm, No. 191"}

---

[3]
{"formula": "VGa2Fe4", "functional": "PBE-GGA", "state": "relaxed", "lattice": [[-2.999, 0.575, -2.761], [2.607, -0.972, -3.034], [-1.869, -6.357, -2.363]], "species": ["Fe", "Fe", "Fe", "Fe", "V", "Ga", "Ga"], "frac_coords": [[0.182, 0.182, 0.636], [0.500, 0.000, 0.000], [0.000, 0.500, 0.000], [0.818, 0.818, 0.364], [0.000, 0.000, 0.000], [0.627, 0.627, 0.746], [0.373, 0.373, 0.254]], "de_polymorph_ev_per_atom": 0.584, "delta_e_f_ev_per_atom": 0.77, "sg": "I4/mmm, No. 139"}

---

[4]
{"formula": "LaCr2Ni", "functional": "PBE-GGA", "state": "relaxed", "lattice": [[4.492, 0.000, 0.000], [0.000, 3.067, 0.025], [0.000, 1.439, 5.180]], "species": ["Cr", "Cr", "Ni", "La"], "frac_coords": [[0.000, 0.955, 0.895], [0.000, 0.545, 0.605], [0.500, 0.750, 0.750], [0.500, 0.250, 0.250]], "de_polymorph_ev_per_atom": 0.306, "delta_e_f_ev_per_atom": 0.55, "sg": "P2/m, No. 10"}

---

[5]
{"formula": "Li3Ac2ZnPb4", "functional": "PBE-GGA", "state": "relaxed", "lattice": [[4.779, 0.000, 0.000], [0.000, 4.779, 0.000], [0.000, 0.000, 11.350]], "species": ["Ac", "Ac", "Pb", "Pb", "Pb", "Pb", "Li", "Li", "Li", "Zn"], "frac_coords": [[0.000, 0.500, 0.742], [0.500, 0.000, 0.258], [0.500, 0.000, 0.634], [0.500, 0.500, 0.000], [0.000, 0.500, 0.366], [0.000, 0.000, 0.000], [0.000, 0.500, 0.130], [0.500, 0.000, 0.870], [0.000, 0.000, 0.500], [0.500, 0.500, 0.500]], "delta_e_f_ev_per_atom": -0.43, "sg": "P-4m2, No. 115"}

---

[6]
{"formula": "Te2IrBr", "functional": "PBE-GGA", "state": "relaxed", "lattice": [[-2.767, -5.842, 0.557], [3.109, -0.686, 2.564], [-2.380, 8.104, 4.998]], "species": ["Te", "Te", "Te", "Te", "Ir", "Ir", "Br", "Br"], "frac_coords": [[0.216, 0.041, 0.147], [0.869, 0.151, 0.512], [0.747, 0.632, 0.183], [0.401, 0.741, 0.548], [0.096, 0.200, 0.350], [0.520, 0.583, 0.345], [0.808, 0.392, 0.847], [0.309, 0.892, 0.848]], "de_polymorph_ev_per_atom": 0.020, "formation_energy_uncorrected_ev_per_atom": -0.24, "sg": "P-1, No. 2"}

---

[7]
{"formula": "NaLa2Zr", "functional": "PBE-GGA", "state": "relaxed", "lattice": [[-5.012, -1.801, 6.857], [6.929, 0.538, 5.206], [0.373, 2.666, 6.470]], "species": ["Zr", "Zr", "Na", "Na", "La", "La", "La", "La"], "frac_coords": [[0.750, 0.250, 0.500], [0.000, 0.000, 0.000], [0.250, 0.750, 0.500], [0.500, 0.500, 0.000], [0.375, 0.371, 0.750], [0.875, 0.879, 0.750], [0.629, 0.125, 0.250], [0.121, 0.625, 0.250]], "de_polymorph_ev_per_atom": 0.480, "delta_e_f_ev_per_atom": 0.61, "sg": "I-42d, No. 122"}

---

[8]
{"formula": "BeB", "functional": "PBE-GGA", "state": "relaxed", "lattice": [[8.430, 0.000, 0.000], [0.000, 3.347, 0.000], [0.000, 0.000, 3.101]], "species": ["B", "B", "B", "B", "B", "B", "Be", "Be", "Be", "Be", "Be", "Be"], "frac_coords": [[0.500, 0.000, 0.265], [0.113, 0.500, 0.268], [0.387, 0.000, 0.768], [0.000, 0.500, 0.765], [0.613, 0.000, 0.768], [0.887, 0.500, 0.268], [0.755, 0.500, 0.768], [0.745, 0.000, 0.268], [0.000, 0.000, 0.165], [0.500, 0.500, 0.665], [0.245, 0.500, 0.768], [0.255, 0.000, 0.268]], "de_polymorph_ev_per_atom": 0.176, "delta_e_f_ev_per_atom": 0.21, "sg": "Imm2, No. 44"}

---

[9]
{"formula": "Rb2YTeCl6", "functional": "PBE-GGA", "state": "relaxed", "lattice": [[-0.900, 8.563, -0.388], [-8.545, -0.866, 0.716], [-4.312, 4.129, 5.406]], "species": ["Cl", "Cl", "Cl", "Cl", "Cl", "Cl", "Rb", "Rb", "Te", "Y"], "frac_coords": [[0.715, 0.715, 0.000], [0.245, 0.245, 0.510], [0.285, 0.715, 0.000], [0.715, 0.285, 0.000], [0.285, 0.285, 0.000], [0.755, 0.755, 0.490], [0.750, 0.250, 0.500], [0.250, 0.750, 0.500], [0.000, 0.000, 0.000], [0.500, 0.500, 0.000]], "formation_energy_uncorrected_ev_per_atom": -1.57, "sg": "I4/mmm, No. 139"}

---

[10]
{"formula": "AcZn2GeAu", "functional": "PBE-GGA", "state": "relaxed", "lattice": [[-4.244, -1.391, -0.244], [1.229, -3.999, 1.417], [0.695, 4.269, 4.559]], "species": ["Ge", "Zn", "Zn", "Au", "Ac"], "frac_coords": [[0.828, 0.828, 0.656], [0.061, 0.061, 0.123], [0.690, 0.190, 0.381], [0.191, 0.691, 0.382], [0.442, 0.442, 0.883]], "delta_e_f_ev_per_atom": -0.52, "sg": "Imm2, No. 44"}

---

[11]
{"formula": "Ga2Cu4Ni", "functional": "PBE-GGA", "state": "relaxed", "lattice": [[4.651, -0.239, 0.617], [-0.404, 4.640, 0.617], [0.222, 0.230, 4.291]], "species": ["Ga", "Ga", "Ni", "Cu", "Cu", "Cu", "Cu"], "frac_coords": [[0.224, 0.224, 0.390], [0.776, 0.776, 0.610], [0.000, 0.000, 0.000], [0.216, 0.570, 0.788], [0.570, 0.216, 0.788], [0.784, 0.430, 0.212], [0.430, 0.784, 0.212]], "delta_e_f_ev_per_atom": -0.06, "sg": "C2/m, No. 12"}

---

[12]
{"formula": "La3AlPt8", "functional": "PBE-GGA", "state": "relaxed", "lattice": [[-4.197, 3.518, 0.790], [-1.504, 1.403, 5.137], [3.847, 8.541, 1.774]], "species": ["Pt", "Pt", "Pt", "Pt", "Pt", "Pt", "Pt", "Pt", "Al", "La", "La", "La"], "frac_coords": [[0.057, 0.561, 0.821], [0.809, 0.809, 0.574], [0.561, 0.561, 0.821], [0.310, 0.310, 0.071], [0.561, 0.057, 0.821], [0.058, 0.563, 0.320], [0.563, 0.058, 0.320], [0.058, 0.058, 0.320], [0.150, 0.150, 0.550], [0.490, 0.490, 0.529], [0.621, 0.621, 0.136], [0.012, 0.012, 0.964]], "delta_e_f_ev_per_atom": -0.98, "sg": "R3m, No. 160"}